Here is a relaxed RbYOs3 crystal from the Alexandria database. Energies are from PBE.

Cell: 5.2094 5.2094 5.2094 Å, 90.00 90.00 90.00°
Space group Pm-3m (No. 221)
Inequivalent atoms, fractional coordinates:
Rb1 0.0000 0.0000 0.0000 [1 per cell]
Y1 0.5000 0.5000 0.5000 [1 per cell]
Os1 0.0000 0.5000 0.5000 [3 per cell]

Output
energy above the lowest structure with this stoichiometry: 0.0 kJ per mole of atoms
Fermi-level density of states: 6.923 states/eV/f.u.